No. 1
La4IrPb2 after structural relaxation, computed with GGA-PBE.

Cell: 9.501 9.501 9.501 Å, 147.11 147.11 47.20°
Atoms (fractional coordinates):
1 La 0.000 0.500 0.500
2 La 0.176 0.176 0.000
3 La 0.500 0.000 0.500
4 La 0.824 0.824 0.000
5 Ir 0.000 0.000 0.000
6 Pb 0.363 0.363 0.000
7 Pb 0.637 0.637 0.000

Output
As for the space group: I4/mmm, No. 139. The calculation puts the density of states at the Fermi level at 5.52 states/eV per cell. The value obtained for the excess energy over the best structure of this formula in the dataset is 105.8 meV/atom. The calculation puts the total magnetization at 0.00 μB/f.u.


No. 2
CrNiB after structural relaxation, computed with GGA-PBE.

Cell: 5.114 5.114 4.119 Å, 101.81 101.81 32.24°
Atoms (fractional coordinates):
1 Cr 0.000 0.000 0.000
2 Cr 0.706 0.706 0.094
3 Ni 0.141 0.141 0.565
4 Ni 0.420 0.420 0.449
5 B 0.337 0.337 0.908
6 B 0.798 0.798 0.637

Output
As for the space group: Cm, No. 8. The calculation puts the total energy at -7.526 eV/atom. The calculation puts the density of states at the Fermi level at 4.77 states/eV per cell. The calculation puts the total magnetization at 0.00 μB/f.u.


- Which of these has the lowest density of states at the Fermi level?
  CrNiB


- What is the density of states at the Fermi level in the first record?
  5.52 states/eV per cell


- Look up the density of states at the Fermi level of the first one.
  5.52 states/eV per cell


- The highest density of states at the Fermi level belongs to which entry?
  La4IrPb2